# 1
DFT (PBE) results for ZnFe2Cl after structural relaxation.

Results
**Raw total energy**: -19.74 eV/f.u.
**Excess energy over the best structure of this formula in the dataset**: 9 meV/atom

Cell lengths 3.028, 3.028, 7.828 Å; angles 90.13, 90.13, 59.93 degrees
Site moments in Bohr magnetons follow the coordinates.
Sites, in units of the cell vectors:
Cl 0.376 0.376 0.208  0.08
Fe 0.042 0.042 0.987  2.88
Fe 0.708 0.708 0.773  2.47
Zn 0.374 0.374 0.532  -0.05

***

# 2
DFT (PBE) results for AcNdIn2Te4 after structural relaxation.

Results
**Raw total energy**: -35.06 eV/f.u.

Cell lengths 4.652, 8.542, 8.067 Å; angles 71.78, 90.00, 90.00 degrees
Sites, in units of the cell vectors:
Te 0.500 0.733 0.245
Te 0.500 0.267 0.755
Te 0.000 0.727 0.768
Te 0.000 0.273 0.232
Ac 0.000 0.500 0.500
Nd 0.500 0.500 0.000
In 0.000 0.000 0.000
In 0.500 0.000 0.500

***

# 3
DFT (PBE) results for V12Ge7Os after structural relaxation.

Results
**Formation enthalpy at 0 K**: 6.01 kJ/mol of atoms
**Raw total energy**: -151.73 eV/f.u.

Cell lengths 6.707, 6.707, 6.707 Å; angles 92.93, 92.93, 92.93 degrees
Sites, in units of the cell vectors:
Ge 0.000 0.173 0.388
Ge 0.000 0.827 0.612
Ge 0.388 0.000 0.173
Ge 0.612 0.000 0.827
Ge 0.827 0.612 0.000
Ge 0.500 0.500 0.500
Ge 0.173 0.388 0.000
V 0.751 0.869 0.281
V 0.525 0.397 0.844
V 0.156 0.475 0.603
V 0.281 0.751 0.869
V 0.131 0.719 0.249
V 0.603 0.156 0.475
V 0.869 0.281 0.751
V 0.397 0.844 0.525
V 0.249 0.131 0.719
V 0.719 0.249 0.131
V 0.475 0.603 0.156
V 0.844 0.525 0.397
Os 0.000 0.000 0.000

***

# 4
DFT (PBE) results for Th2TaC3 after structural relaxation.

Results
**Formation enthalpy at 0 K**: -21.44 kJ/mol of atoms
**Raw total energy**: -55.70 eV/f.u.
**Excess energy over the best structure of this formula in the dataset**: 64 meV/atom

Cell lengths 4.167, 3.643, 7.263 Å; angles 104.53, 106.67, 90.00 degrees
Sites, in units of the cell vectors:
Ta 0.500 0.293 0.000
Th 0.148 0.940 0.296
Th 0.852 0.644 0.704
C 0.000 0.281 0.000
C 0.338 0.130 0.675
C 0.662 0.455 0.325

***

# 5
DFT (PBE) results for La2NdTi after structural relaxation.

Results
**Formation enthalpy at 0 K**: 43.25 kJ/mol of atoms
**Raw total energy**: -20.72 eV/f.u.

Cell lengths 3.393, 3.393, 12.403 Å; angles 82.14, 82.14, 60.00 degrees
Site moments in Bohr magnetons follow the coordinates.
Sites, in units of the cell vectors:
La 0.078 0.078 0.765  0.03
La 0.922 0.922 0.235  0.03
Ti 0.000 0.000 0.000  0.78
Nd 0.500 0.500 0.500  0.01

***

# 6
DFT (PBE) results for Cu3MoPt after structural relaxation.

Results
**Formation enthalpy at 0 K**: 123.36 kJ/mol of atoms
**Raw total energy**: -22.77 eV/f.u.
**Excess energy over the best structure of this formula in the dataset**: 0 meV/atom

Cell lengths 4.642, 4.642, 4.642 Å; angles 90.00, 90.00, 90.00 degrees
Site moments in Bohr magnetons follow the coordinates.
Sites, in units of the cell vectors:
Pt 0.000 0.000 0.000  0.17
Mo 0.500 0.500 0.500  3.40
Cu 0.500 0.000 0.000  0.09
Cu 0.000 0.000 0.500  -0.02
Cu 0.000 0.500 0.000  0.05